[1]
## HoEr3Tl2N2 (GGA-PBE)

Data for an optimized crystal structure of HoEr3Tl2N2.

Cell lengths 3.4991, 3.4991, 15.6098 Å; angles 90.00, 90.00, 120.00 degrees
Last column: nearest neighbours and their distance in Å.
Fractional positions:
Er1 0.6667 0.3333 0.0840  3 N 2.40
Er2 0.6667 0.3333 0.4161  3 N 2.41
Er3 0.0000 0.0000 0.5836  3 N 2.41
Ho1 0.0000 0.0000 0.9159  3 N 2.42
N1 0.3333 0.6667 0.0010  3 Er 2.40, 3 Ho 2.42
N2 0.3333 0.6667 0.4998  6 Er 2.41
Tl1 0.0000 0.0000 0.2501  6 Er 3.28-3.29, 6 Tl 3.50
Tl2 0.6667 0.3333 0.7494  3 Er 3.28, 3 Ho 3.29, 6 Tl 3.50

## Properties
Uncorrected energy = -5.977 eV per atom
Total magnetization = 0.0 μB/cell

***

[2]
## NaHoEr (GGA-PBE)

Data for an optimized crystal structure of NaHoEr.

Cell lengths 5.2798, 5.2798, 5.2798 Å; angles 60.00, 60.00, 60.00 degrees
Last column: nearest neighbours and their distance in Å.
Fractional positions:
Er1 0.2500 0.2500 0.2500  4 Na 3.23
Ho1 0.7500 0.7500 0.7500  4 Na 3.23
Na1 0.0000 0.0000 0.0000  4 Ho 3.23, 4 Er 3.23

## Properties
Total magnetization = 1.1 μB/cell
Polymorph energy (0 for the lowest one) = 0 meV per atom

***

[3]
## HoErNb2Sn2 (GGA-PBE)

Data for an optimized crystal structure of HoErNb2Sn2.

Cell lengths 4.1974, 4.1974, 8.0507 Å; angles 90.00, 90.00, 90.00 degrees
Last column: nearest neighbours and their distance in Å.
Fractional positions:
Er1 0.0000 0.0000 0.6537  5 Sn 3.05-3.19
Ho1 0.5000 0.5000 0.3471  5 Sn 3.06-3.18
Nb1 0.5000 0.0000 0.9998  4 Sn 2.95, 4 Nb 2.97
Nb2 0.0000 0.5000 0.9998  4 Sn 2.95, 4 Nb 2.97
Sn1 0.0000 0.0000 0.2571  4 Nb 2.95, 4 Ho 3.06, 1 Er 3.19
Sn2 0.5000 0.5000 0.7427  4 Nb 2.95, 4 Er 3.05, 1 Ho 3.18

## Properties
Uncorrected energy = -6.656 eV per atom
Total magnetization = 0.9 μB/cell

***

[4]
## Nd3Ho2ErTe2Pd (GGA-PBE)

Data for an optimized crystal structure of Nd3Ho2ErTe2Pd.

Cell lengths 4.0581, 8.4992, 8.4992 Å; angles 119.97, 90.00, 90.00 degrees
Last column: nearest neighbours and their distance in Å.
Fractional positions:
Er1 0.0000 0.2403 0.2403  2 Pd 2.87
Ho1 0.0000 0.7590 0.0000  2 Pd 2.89
Ho2 0.0000 0.0000 0.7590  2 Pd 2.89
Nd1 0.5000 0.4064 0.0000  4 Te 3.28, 1 Pd 3.45, 4 Ho 3.62-3.63, 2 Er 3.63
Nd2 0.5000 0.0000 0.4064  4 Te 3.28, 1 Pd 3.45, 4 Ho 3.62-3.63, 2 Er 3.63
Nd3 0.5000 0.5933 0.5933  4 Te 3.28, 1 Pd 3.47, 2 Er 3.62, 4 Ho 3.63
Pd1 0.5000 0.0012 0.0012  2 Er 2.87, 4 Ho 2.89
Te1 0.0000 0.6664 0.3334  6 Nd 3.28, 2 Ho 3.30, 1 Er 3.30
Te2 0.0000 0.3334 0.6664  6 Nd 3.28, 2 Ho 3.30, 1 Er 3.30

## Properties
Uncorrected energy = -5.245 eV per atom
Total magnetization = 0.0 μB/cell